(1)
## Cs2GaAs (PBE)

Data for crystalline Cs2GaAs at its relaxed geometry.

Cell: 10.327 10.844 7.947 Å, 133.02 90.00 90.00°
Positions (direct):
Cs 0.750 0.002 0.003
Cs 0.250 0.498 0.997
Cs 0.250 0.998 0.997
Cs 0.750 0.502 0.003
Cs 0.824 0.503 0.505
Cs 0.324 0.997 0.495
Cs 0.176 0.497 0.495
Cs 0.676 0.003 0.505
Ga 0.502 0.364 0.228
Ga 0.002 0.136 0.772
Ga 0.498 0.636 0.772
Ga 0.998 0.864 0.228
As 0.500 0.314 0.500
As 0.000 0.186 0.500
As 0.500 0.686 0.500
As 0.000 0.814 0.500

Polymorph energy (0 for the lowest one) ... 0.000 eV per atom
Theoretical density ... 4.190 Mg/m³
DFT formation energy ... -0.315 eV per atom
Electronic total energy ... -2.660 eV/atom

---

(2)
## CsGa2As2 (PBE)

Data for crystalline CsGa2As2 at its relaxed geometry.

Cell: 4.452 4.452 8.028 Å, 73.90 73.90 90.00°
Positions (direct):
Cs 0.000 0.000 0.000
As 0.344 0.344 0.311
As 0.656 0.656 0.689
Ga 0.750 0.250 0.500
Ga 0.250 0.750 0.500

Polymorph energy (0 for the lowest one) ... 0.000 eV per atom
Theoretical density ... 4.790 Mg/m³
DFT formation energy ... -0.398 eV per atom
Electronic total energy ... -3.639 eV/atom

---

(3)
## Cs3GaAs2 (PBE)

Data for crystalline Cs3GaAs2 at its relaxed geometry.

Cell: 9.086 11.585 19.767 Å, 80.05 90.00 90.00°
Positions (direct):
Cs 0.917 0.375 0.893
Cs 0.417 0.625 0.607
Cs 0.083 0.625 0.107
Cs 0.583 0.375 0.393
Cs 0.381 0.292 0.840
Cs 0.881 0.708 0.660
Cs 0.619 0.708 0.160
Cs 0.119 0.292 0.340
Cs 0.537 0.153 0.033
Cs 0.037 0.847 0.467
Cs 0.463 0.847 0.967
Cs 0.963 0.153 0.533
Cs 0.397 0.256 0.578
Cs 0.897 0.744 0.922
Cs 0.603 0.744 0.422
Cs 0.103 0.256 0.078
Cs 0.049 0.079 0.759
Cs 0.549 0.921 0.741
Cs 0.951 0.921 0.241
Cs 0.451 0.079 0.259
Cs 0.747 0.362 0.709
Cs 0.247 0.638 0.791
Cs 0.253 0.638 0.291
Cs 0.753 0.362 0.209
Ga 0.881 0.046 0.944
Ga 0.381 0.954 0.556
Ga 0.119 0.954 0.056
Ga 0.619 0.046 0.444
Ga 0.055 0.461 0.576
Ga 0.555 0.539 0.924
Ga 0.945 0.539 0.424
Ga 0.445 0.461 0.076
As 0.700 0.103 0.858
As 0.200 0.897 0.642
As 0.300 0.897 0.142
As 0.800 0.103 0.358
As 0.846 0.951 0.065
As 0.346 0.049 0.435
As 0.154 0.049 0.935
As 0.654 0.951 0.565
As 0.798 0.493 0.532
As 0.298 0.507 0.968
As 0.202 0.507 0.468
As 0.702 0.493 0.032
As 0.142 0.400 0.691
As 0.642 0.600 0.809
As 0.858 0.600 0.309
As 0.358 0.400 0.191

Polymorph energy (0 for the lowest one) ... 0.000 eV per atom
Theoretical density ... 4.008 Mg/m³
DFT formation energy ... -0.487 eV per atom
Electronic total energy ... -2.968 eV/atom

---

(4)
## CsGa2As2 (PBE)

Data for crystalline CsGa2As2 at its relaxed geometry.

Cell: 9.069 9.069 3.751 Å, 90.00 90.00 90.00°
Positions (direct):
Cs 0.000 0.000 0.000
Cs 0.500 0.500 0.000
As 0.401 0.901 0.000
As 0.901 0.599 0.000
As 0.599 0.099 0.000
As 0.099 0.401 0.000
Ga 0.126 0.626 0.500
Ga 0.626 0.874 0.500
Ga 0.874 0.374 0.500
Ga 0.374 0.126 0.500

Polymorph energy (0 for the lowest one) ... 0.302 eV per atom
Theoretical density ... 4.545 Mg/m³
DFT formation energy ... -0.096 eV per atom
Electronic total energy ... -3.337 eV/atom

---

(5)
## CsGa2As2 (PBE)

Data for crystalline CsGa2As2 at its relaxed geometry.

Cell: 4.058 4.058 8.504 Å, 90.00 90.00 90.00°
Positions (direct):
Cs 0.000 0.000 0.000
Ga 0.500 0.000 0.500
Ga 0.000 0.500 0.500
As 0.500 0.500 0.708
As 0.500 0.500 0.292

Polymorph energy (0 for the lowest one) ... 0.330 eV per atom
Theoretical density ... 5.007 Mg/m³
DFT formation energy ... -0.068 eV per atom
Electronic total energy ... -3.309 eV/atom

---

(6)
## Cs2Ga2As (PBE)

Data for crystalline Cs2Ga2As at its relaxed geometry.

Cell: 7.295 7.295 6.170 Å, 90.00 90.00 90.00°
Positions (direct):
Cs 0.195 0.695 0.500
Cs 0.695 0.805 0.500
Cs 0.805 0.305 0.500
Cs 0.305 0.195 0.500
As 0.000 0.000 0.000
As 0.500 0.500 0.000
Ga 0.374 0.874 0.000
Ga 0.874 0.626 0.000
Ga 0.626 0.126 0.000
Ga 0.126 0.374 0.000

Polymorph energy (0 for the lowest one) ... 0.198 eV per atom
Theoretical density ... 4.857 Mg/m³
DFT formation energy ... -0.036 eV per atom
Electronic total energy ... -2.518 eV/atom

---

(7)
## Cs3Ga2As4 (PBE)

Data for crystalline Cs3Ga2As4 at its relaxed geometry.

Cell: 7.793 9.344 9.344 Å, 75.94 79.49 79.49°
Positions (direct):
Cs 0.934 0.985 0.250
Cs 0.566 0.750 0.015
Cs 0.066 0.015 0.750
Cs 0.434 0.250 0.985
Cs 0.250 0.586 0.414
Cs 0.750 0.414 0.586
Ga 0.521 0.177 0.402
Ga 0.979 0.598 0.823
Ga 0.479 0.823 0.598
Ga 0.021 0.402 0.177
As 0.397 0.970 0.337
As 0.103 0.663 0.030
As 0.603 0.030 0.663
As 0.897 0.337 0.970
As 0.187 0.213 0.380
As 0.313 0.620 0.787
As 0.813 0.787 0.620
As 0.687 0.380 0.213

Polymorph energy (0 for the lowest one) ... 0.039 eV per atom
Theoretical density ... 4.333 Mg/m³
DFT formation energy ... -0.359 eV per atom
Electronic total energy ... -3.383 eV/atom

---

(8)
## Cs3GaAs2 (PBE)

Data for crystalline Cs3GaAs2 at its relaxed geometry.

Cell: 8.123 10.083 9.857 Å, 120.76 114.33 90.00°
Positions (direct):
Cs 0.500 0.250 0.000
Cs 0.500 0.750 0.000
Cs 0.778 0.028 0.556
Cs 0.222 0.472 0.444
Cs 0.222 0.972 0.444
Cs 0.778 0.528 0.556
Ga 0.000 0.500 0.000
Ga 0.000 0.000 0.000
As 0.683 0.399 0.799
As 0.884 0.101 0.201
As 0.116 0.899 0.799
As 0.317 0.601 0.201

Polymorph energy (0 for the lowest one) ... 0.125 eV per atom
Theoretical density ... 3.373 Mg/m³
DFT formation energy ... -0.362 eV per atom
Electronic total energy ... -2.843 eV/atom

---

(9)
## Cs2GaAs (PBE)

Data for crystalline Cs2GaAs at its relaxed geometry.

Cell: 6.089 6.089 6.089 Å, 60.00 60.00 60.00°
Positions (direct):
Cs 0.250 0.250 0.250
Cs 0.750 0.750 0.750
As 0.500 0.500 0.500
Ga 0.000 0.000 0.000

Polymorph energy (0 for the lowest one) ... 0.435 eV per atom
Theoretical density ... 4.270 Mg/m³
DFT formation energy ... 0.120 eV per atom
Electronic total energy ... -2.226 eV/atom

---

(10)
## CsGaAsH2 (PBE)

Data for crystalline CsGaAsH2 at its relaxed geometry.

Cell: 4.233 4.233 7.695 Å, 90.00 90.00 90.00°
Positions (direct):
Cs 0.000 0.000 0.000
H 0.000 0.500 0.000
H 0.500 0.000 0.000
As 0.000 0.000 0.500
Ga 0.500 0.500 0.500

Theoretical density ... 3.367 Mg/m³
Electronic total energy ... -2.122 eV/atom

---

(11)
## CsGa2AsH2 (PBE)

Data for crystalline CsGa2AsH2 at its relaxed geometry.

Cell: 6.107 7.257 7.477 Å, 113.32 90.00 90.00°
Positions (direct):
Cs 0.750 0.311 0.694
Cs 0.250 0.689 0.306
Ga 0.499 0.165 0.199
Ga 0.001 0.165 0.199
Ga 0.999 0.835 0.801
Ga 0.501 0.835 0.801
As 0.250 0.158 0.908
As 0.750 0.842 0.092
H 0.250 0.171 0.342
H 0.250 0.680 0.734
H 0.750 0.829 0.658
H 0.750 0.320 0.266

Theoretical density ... 3.812 Mg/m³
Electronic total energy ... -3.126 eV/atom